(1)
DFT (PBE-GGA) results for a relaxed TiSi3Cl crystal.

The structure belongs to space group Pm-3m (No. 221); the cell edges are 4.5638, 4.5638 and 4.5638 Å and the angles 90.00°, 90.00° and 90.00°. The distinct sites, in fractional coordinates, are Ti at (0.0000, 0.0000, 0.0000), Si at (0.0000, 0.5000, 0.5000) and Cl at (0.5000, 0.5000, 0.5000).

The energy above the lowest structure with this stoichiometry comes out at 435 meV/atom. The formation energy without anion corrections is 1074 meV per atom.

=====

(2)
DFT (PBE-GGA) results for a relaxed Cs3LiH4 crystal.

The structure belongs to space group Imm2 (No. 44); the cell edges are 6.5051, 9.2541 and 6.8997 Å and the angles 90.00°, 90.00° and 90.00°. The distinct sites, in fractional coordinates, are Cs at (0.0000, 0.0000, 0.0000), Cs at (0.0000, 0.2374, 0.4767), Li at (0.0000, 0.5000, 0.0319), H at (0.0000, 0.3223, 0.8852) and H at (0.2304, 0.5000, 0.1960).

=====

no.,final energy (eV/atom)
1,-4.128
2,-2.385